Entry 1:
First-principles (PBE) data for crystalline FeBi at its relaxed geometry, as listed in OQMD via LeMat-Bulk.

Values from the calculation:
Energy, eV/atom: -5.802

a b c (Å): 4.103 3.454 6.219
angles (deg): 90.00 90.00 90.00
Space group Pmma (No. 51)
Unique sites:
Fe 0.250 0.000 0.103
Bi 0.250 0.500 0.740

Entry 2:
First-principles (PBE) data for crystalline NbTlFeAu at its relaxed geometry, as listed in OQMD via LeMat-Bulk.

Values from the calculation:
Energy relative to the lowest polymorph listed for this composition, eV/atom: 0.041
Energy, eV/atom: -5.596

a b c (Å): 6.504 6.504 6.504
angles (deg): 90.00 90.00 90.00
Space group F-43m (No. 216)
Unique sites:
Nb 0.000 0.000 0.000
Tl 0.250 0.250 0.250
Fe 0.000 0.000 0.500
Au 0.250 0.250 0.750

Entry 3:
First-principles (PBE) data for crystalline Cs2LiTcF6 at its relaxed geometry, as listed in OQMD via LeMat-Bulk.

Values from the calculation:
Energy relative to the lowest polymorph listed for this composition, eV/atom: 0.005
Energy, eV/atom: -4.901

a b c (Å): 5.831 5.831 8.349
angles (deg): 90.00 90.00 90.00
Space group I4/m (No. 87)
Unique sites:
Cs 0.000 0.500 0.250
Li 0.000 0.000 0.000
Tc 0.000 0.000 0.500
F 0.000 0.000 0.252
F 0.245 0.752 0.500

Entry 4:
First-principles (PBE) data for crystalline GdErTlFe2 at its relaxed geometry, as listed in OQMD via LeMat-Bulk.

Values from the calculation:
Energy, eV/atom: -5.791

a b c (Å): 3.971 3.797 13.878
angles (deg): 90.00 90.00 90.00
Space group Amm2 (No. 38)
Unique sites:
Gd 0.000 0.000 0.000
Er 0.000 0.000 0.278
Tl 0.500 0.000 0.640
Fe 0.500 0.000 0.427
Fe 0.500 0.000 0.847

Entry 5:
First-principles (PBE) data for crystalline GdTeAs at its relaxed geometry, as listed in OQMD via LeMat-Bulk.

Values from the calculation:
Energy, eV/atom: -4.641

a b c (Å): 6.993 6.993 6.993
angles (deg): 90.00 90.00 90.00
Space group F-43m (No. 216)
Unique sites:
Gd 0.000 0.000 0.000
Te 0.000 0.000 0.500
As 0.250 0.250 0.250

Entry 6:
First-principles (PBE) data for crystalline InCuTcSeS2 at its relaxed geometry, as listed in OQMD via LeMat-Bulk.

Values from the calculation:
Energy, eV/atom: -4.945

a b c (Å): 3.371 14.332 9.517
angles (deg): 90.00 90.00 90.00
Space group Cmcm (No. 63)
Unique sites:
In 0.000 0.242 0.250
Cu 0.000 0.453 0.750
Tc 0.000 0.000 0.000
Se 0.000 0.076 0.750
S 0.000 0.379 0.543

Entry 7:
First-principles (PBE) data for crystalline NbTl2GeF6 at its relaxed geometry, as listed in OQMD via LeMat-Bulk.

Values from the calculation:
Energy, eV/atom: -4.912

a b c (Å): 8.630 8.630 8.630
angles (deg): 90.00 90.00 90.00
Space group Fm-3m (No. 225)
Unique sites:
Nb 0.000 0.000 0.000
Tl 0.250 0.250 0.250
Ge 0.000 0.000 0.500
F 0.000 0.000 0.249

Entry 8:
First-principles (PBE) data for crystalline ReGe at its relaxed geometry, as listed in OQMD via LeMat-Bulk.

Values from the calculation:
Energy, eV/atom: -7.658

a b c (Å): 3.9249 3.9249 4.9048
angles (deg): 90.00 90.00 120.00
Space group P6_3/mmc (No. 194)
Unique sites:
Re 0.3333 0.6667 0.2500
Ge 0.0000 0.0000 0.0000

Entry 9:
First-principles (PBE) data for crystalline HfGaAsO at its relaxed geometry, as listed in OQMD via LeMat-Bulk.

Values from the calculation:
Energy relative to the lowest polymorph listed for this composition, eV/atom: 0.000
Energy, eV/atom: -7.019

a b c (Å): 3.574 3.574 10.350
angles (deg): 90.00 90.00 90.00
Space group P4/nmm (No. 129, origin choice 2)
Unique sites:
Hf 0.250 0.250 0.118
Ga 0.250 0.750 0.500
As 0.250 0.250 0.739
O 0.250 0.750 0.000

Entry 10:
First-principles (PBE) data for crystalline Zn6CdIn at its relaxed geometry, as listed in OQMD via LeMat-Bulk.

Values from the calculation:
Energy, eV/atom: -1.310

a b c (Å): 5.7169 5.7169 4.9282
angles (deg): 90.00 90.00 120.00
Space group P-6m2 (No. 187)
Unique sites:
Zn 0.0090 0.5045 0.0000
Zn 0.1734 0.3468 0.5000
Cd 0.6667 0.3333 0.5000
In 0.0000 0.0000 0.0000

Entry 11:
First-principles (PBE) data for crystalline TmGaHgTe3 at its relaxed geometry, as listed in OQMD via LeMat-Bulk.

Values from the calculation:
Energy, eV/atom: -3.549

a b c (Å): 4.241 16.579 11.603
angles (deg): 90.00 90.00 90.00
Space group Cmcm (No. 63)
Unique sites:
Tm 0.000 0.000 0.000
Ga 0.000 0.454 0.250
Hg 0.000 0.261 0.750
Te 0.000 0.063 0.250
Te 0.000 0.373 0.056

Entry 12:
First-principles (PBE) data for crystalline Ta5H at its relaxed geometry, as listed in OQMD via LeMat-Bulk.

Values from the calculation:
Energy relative to the lowest polymorph listed for this composition, eV/atom: 1.437
Energy, eV/atom: -9.068

a b c (Å): 5.6002 5.6002 4.5711
angles (deg): 90.00 90.00 120.00
Space group P6/mmm (No. 191)
Unique sites:
Ta 0.0000 0.5000 0.0000
Ta 0.3333 0.6667 0.5000
H 0.0000 0.0000 0.5000